# 1
DFT (PBE-GGA) results for a geometry-optimized Zn2PdO4 structure.

abc: 6.126 6.126 8.572
angles: 90.00 90.00 90.00
Fractional positions:
Zn 0.735 0.500 0.250
Zn 0.752 0.752 0.875
Zn 0.500 0.735 0.500
Zn 0.265 0.500 0.750
Zn 0.500 0.265 0.000
Zn 0.248 0.752 0.125
Zn 0.248 0.248 0.375
Zn 0.752 0.248 0.625
Pd 0.748 0.000 0.250
Pd 0.000 0.748 0.500
Pd 0.252 0.000 0.750
Pd 0.000 0.252 0.000
O 0.756 0.021 0.012
O 0.239 0.518 0.505
O 0.761 0.482 0.005
O 0.979 0.756 0.262
O 0.239 0.482 0.995
O 0.244 0.979 0.512
O 0.021 0.756 0.738
O 0.021 0.244 0.762
O 0.482 0.239 0.755
O 0.761 0.518 0.495
O 0.756 0.979 0.488
O 0.979 0.244 0.238
O 0.518 0.761 0.255
O 0.244 0.021 0.988
O 0.518 0.239 0.245
O 0.482 0.761 0.745

Properties
M_tot: 0.000 Bohr magnetons per cell
VASP energy: -137.8 eV for the cell shown
E_form (uncorrected): -0.982 eV per atom

---

# 2
DFT (PBE-GGA) results for a geometry-optimized CaBeAs2 structure.

abc: 4.569 4.569 4.799
angles: 75.20 75.20 68.30
Fractional positions:
Be 0.750 0.750 0.750
As 0.505 0.505 0.624
As 0.995 0.995 0.876
Ca 0.250 0.250 0.250

Properties
M_tot: 0.000 Bohr magnetons per cell
VASP energy: -16.3 eV for the cell shown
energy of formation from the pure elements: -1.28 eV per formula unit

---

# 3
DFT (PBE-GGA) results for a geometry-optimized Li2YBiH structure.

abc: 4.470 4.470 4.588
angles: 90.00 90.00 90.00
Fractional positions:
Bi 0.500 0.500 0.500
Li 0.500 0.000 0.000
Li 0.000 0.500 0.000
H 0.000 0.000 0.000
Y 0.000 0.000 0.500

Properties
M_tot: 0.000 Bohr magnetons per cell
VASP energy: -20.2 eV for the cell shown